This record from Alexandria describes crystalline LaFe at its relaxed geometry. The functional is PBE.

## Properties
calculated total energy: -6.433 eV per atom
total moment: 13.73 μB per cell
D(E_F): 2.62 states/eV/f.u.
ΔH_f (0 K): 51 kJ/mol of formula units

Geometry as extended XYZ:
```
16
Lattice="10.1823 0.0000 0.0000 0.0000 10.1823 0.0000 0.0000 0.0000 3.9049" Properties=species:S:1:pos:R:3 pbc="T T T"
La 7.2126 3.5253 1.9524
La 2.9697 6.6570 1.9524
La 6.6570 7.2126 1.9524
La 3.5253 2.9697 1.9524
La 9.9919 7.9099 0.0000
La 0.1904 2.2724 0.0000
La 2.2724 9.9919 0.0000
La 7.9099 0.1904 0.0000
Fe 9.5903 6.0662 1.9524
Fe 0.5920 4.1161 1.9524
Fe 4.1161 9.5903 1.9524
Fe 6.0662 0.5920 1.9524
Fe 8.9907 4.9891 0.0000
Fe 1.1916 5.1932 0.0000
Fe 5.1932 8.9907 0.0000
Fe 4.9891 1.1916 0.0000
```



This record from Alexandria describes crystalline La4Fe at its relaxed geometry. The functional is PBE.

## Properties
calculated total energy: -5.593 eV per atom
total moment: 0.00 μB per cell
D(E_F): 6.05 states/eV/f.u.
distance to the lowest polymorph of the same formula: 0 meV/atom
ΔH_f (0 K): 20 kJ/mol of formula units

Geometry as extended XYZ:
```
10
Lattice="-3.5775 1.9992 -6.6313 2.5084 -2.4720 -6.6805 -5.7768 -4.4345 -2.8023" Properties=species:S:1:pos:R:3 pbc="T T T"
La -4.4227 -4.7834 -10.1865
La -0.3811 -1.2651 -2.1423
La -3.1510 -3.6220 -3.7753
La -3.5398 -1.3720 -12.0512
La -2.3136 -0.1932 -5.4843
La -6.1659 -3.8012 -13.6577
La -4.9561 -2.5653 -6.9390
La -1.6364 -2.4837 -8.7054
Fe -2.5865 -2.9211 -6.5067
Fe -0.0580 0.0324 -0.1074
```



This record from Alexandria describes crystalline La2Fe3 at its relaxed geometry. The functional is PBE.

## Properties
calculated total energy: -6.999 eV per atom
total moment: 4.20 μB per cell
D(E_F): 5.11 states/eV/f.u.
ΔH_f (0 K): 24 kJ/mol of formula units

Geometry as extended XYZ:
```
5
Lattice="4.1191 0.0000 0.0000 -2.0596 3.5673 0.0000 0.0000 0.0000 8.0793" Properties=species:S:1:pos:R:3 pbc="T T T"
Fe 0.0000 0.0000 0.0000
Fe 2.0596 1.1891 7.7044
Fe 0.0000 2.3782 0.3749
La 2.0596 1.1891 2.2478
La 0.0000 2.3782 5.8316
```



This record from Alexandria describes crystalline La2Fe at its relaxed geometry. The functional is PBE.

## Properties
calculated total energy: -5.844 eV per atom
total moment: 0.69 μB per cell
D(E_F): 2.60 states/eV/f.u.
ΔH_f (0 K): 76 kJ/mol of formula units

Geometry as extended XYZ:
```
3
Lattice="-2.7223 -3.1714 1.9429 1.6017 -2.6170 3.4394 -1.3473 2.8861 2.8234" Properties=species:S:1:pos:R:3 pbc="T T T"
Fe 0.0000 0.0000 0.0000
La -1.3630 0.1900 3.8675
La -1.1049 -3.0923 4.3382
```



This record from Alexandria describes crystalline LaFe2 at its relaxed geometry. The functional is PBE.

## Properties
calculated total energy: -7.003 eV per atom
total moment: 6.70 μB per cell
D(E_F): 3.28 states/eV/f.u.
ΔH_f (0 K): 81 kJ/mol of formula units

Geometry as extended XYZ:
```
6
Lattice="0.4130 3.7456 4.6046 -3.6394 4.6409 -0.7867 -0.8774 -5.8764 -0.3164" Properties=species:S:1:pos:R:3 pbc="T T T"
La -0.8066 2.0966 0.9545
La -2.4198 6.2899 2.8634
Fe -2.9271 4.2138 0.7535
Fe -1.1767 -1.7037 2.7481
Fe -1.4900 -0.7875 0.4707
Fe -2.6138 3.2976 3.0308
```



This record from Alexandria describes crystalline LaFe at its relaxed geometry. The functional is PBE.

## Properties
calculated total energy: -6.457 eV per atom
total moment: 0.00 μB per cell
D(E_F): 1.62 states/eV/f.u.
ΔH_f (0 K): 46 kJ/mol of formula units

Geometry as extended XYZ:
```
16
Lattice="-3.0350 6.2991 8.0328 -8.0389 3.6900 -5.9309 -2.2778 -2.8073 1.3408" Properties=species:S:1:pos:R:3 pbc="T T T"
La -3.4852 4.0715 2.6040
La -7.5887 5.9176 -0.5021
La -6.3467 6.6255 3.0901
La -4.7272 3.3636 -0.9882
La -7.1260 1.3633 -3.7074
La -6.2257 5.8185 7.1501
La -1.9487 0.2273 2.7095
La -11.4030 6.9545 0.7331
Fe -7.0884 4.4414 -2.7429
Fe -3.9855 5.5477 4.8448
Fe -2.5824 2.2138 0.2481
Fe -8.4915 7.7753 1.8538
Fe -5.7254 4.3423 4.9093
Fe -7.6263 2.8394 -1.4667
Fe -9.2583 5.8047 1.9694
Fe -4.0935 1.3771 1.4733
```



This record from Alexandria describes crystalline LaFe at its relaxed geometry. The functional is PBE.

## Properties
calculated total energy: -6.494 eV per atom
total moment: 4.99 μB per cell
D(E_F): 2.14 states/eV/f.u.
ΔH_f (0 K): 39 kJ/mol of formula units

Geometry as extended XYZ:
```
6
Lattice="0.4508 -6.7066 -0.9501 -0.2177 -3.3978 5.8730 -3.2381 4.0404 -4.3902" Properties=species:S:1:pos:R:3 pbc="T T T"
La -0.8114 -2.8827 -0.6415
La -1.8169 0.2361 0.5707
La -1.1242 -2.1583 3.2232
Fe -0.0484 -5.2099 2.1454
Fe -2.2678 -4.3362 1.5016
Fe -2.0040 -2.9396 -3.3964
```



This record from Alexandria describes crystalline La5Fe3 at its relaxed geometry. The functional is PBE.

## Properties
calculated total energy: -5.929 eV per atom
total moment: 4.22 μB per cell
D(E_F): 12.53 states/eV/f.u.
ΔH_f (0 K): 250 kJ/mol of formula units

Geometry as extended XYZ:
```
8
Lattice="3.9946 -5.5420 0.0000 3.9946 5.5420 0.0000 0.0000 0.0000 4.6648" Properties=species:S:1:pos:R:3 pbc="T T T"
La 0.0000 0.0000 0.0000
La 1.9973 -2.7710 0.0000
La 1.9973 2.7710 0.0000
La 5.5690 0.0000 2.3324
La 2.4201 0.0000 2.3324
Fe 3.9946 0.0000 0.0000
Fe 3.9946 -3.3279 2.3324
Fe 3.9946 3.3279 2.3324
```



This record from Alexandria describes crystalline La7Fe at its relaxed geometry. The functional is PBE.

## Properties
calculated total energy: -5.154 eV per atom
total moment: 3.13 μB per cell
D(E_F): 16.64 states/eV/f.u.
ΔH_f (0 K): 167 kJ/mol of formula units

Geometry as extended XYZ:
```
8
Lattice="0.1467 -4.9614 5.2041 -5.8506 -3.9528 1.3656 -0.0927 -6.9893 -1.6915" Properties=species:S:1:pos:R:3 pbc="T T T"
La -0.0463 -3.4946 -0.8457
La 0.0270 -5.9753 1.7563
La -2.9717 -5.4710 -0.1629
La -2.8520 -4.4571 3.2849
La -2.9253 -1.9764 0.6828
La 0.0734 -2.4807 2.6021
La -2.8983 -7.9517 2.4391
Fe 0.0000 0.0000 0.0000
```



This record from Alexandria describes crystalline LaFe4 at its relaxed geometry. The functional is PBE.

## Properties
calculated total energy: -5.871 eV per atom
total moment: 8.95 μB per cell
D(E_F): 8.04 states/eV/f.u.
ΔH_f (0 K): 909 kJ/mol of formula units

Geometry as extended XYZ:
```
5
Lattice="4.5672 0.0000 0.0000 0.0000 4.5672 0.0000 0.0000 0.0000 4.5672" Properties=species:S:1:pos:R:3 pbc="T T T"
Fe 0.0000 0.0000 0.0000
Fe 2.2836 0.0000 2.2836
Fe 0.0000 2.2836 2.2836
Fe 2.2836 2.2836 0.0000
La 2.2836 2.2836 2.2836
```



This record from Alexandria describes crystalline LaFe2 at its relaxed geometry. The functional is PBE.

## Properties
calculated total energy: -6.987 eV per atom
total moment: 4.79 μB per cell
D(E_F): 3.80 states/eV/f.u.
ΔH_f (0 K): 86 kJ/mol of formula units

Geometry as extended XYZ:
```
3
Lattice="5.8460 0.0395 0.0000 4.0157 4.2486 0.0000 -4.9309 -2.1440 2.2949" Properties=species:S:1:pos:R:3 pbc="T T T"
Fe 0.3959 0.1721 0.0000
Fe 6.1786 2.6866 0.0000
La 3.2872 1.4294 0.0000
```



This record from Alexandria describes crystalline La3Fe at its relaxed geometry. The functional is PBE.

## Properties
calculated total energy: -5.464 eV per atom
total moment: 2.60 μB per cell
D(E_F): 7.13 states/eV/f.u.
ΔH_f (0 K): 134 kJ/mol of formula units

Geometry as extended XYZ:
```
4
Lattice="4.7393 0.0000 0.0000 -2.3696 5.6259 -0.0599 0.0000 2.0417 4.2769" Properties=species:S:1:pos:R:3 pbc="T T T"
Fe 0.0000 0.0000 0.0000
La 2.3696 4.3442 3.1777
La 2.3696 1.0209 2.1385
La 0.0000 3.3234 1.0393
```



This record from Alexandria describes crystalline LaFe at its relaxed geometry. The functional is PBE.

## Properties
calculated total energy: -6.482 eV per atom
total moment: 5.14 μB per cell
D(E_F): 2.23 states/eV/f.u.
ΔH_f (0 K): 41 kJ/mol of formula units

Geometry as extended XYZ:
```
6
Lattice="-1.3034 -0.6466 -6.0318 0.4069 -3.6519 -4.9997 -5.9611 -3.4801 -0.2553" Properties=species:S:1:pos:R:3 pbc="T T T"
La -5.3824 -3.3444 -0.8191
La -2.6825 -1.5829 -0.1640
La -1.2187 -3.6097 -8.4919
Fe -4.2737 -5.2043 -8.0725
Fe -2.6575 -2.6845 -3.4133
Fe -4.6045 -3.9079 -3.7492
```



This record from Alexandria describes crystalline LaFe6 at its relaxed geometry. The functional is PBE.

## Properties
calculated total energy: -7.417 eV per atom
total moment: 0.00 μB per cell
D(E_F): 10.99 states/eV/f.u.
ΔH_f (0 K): 365 kJ/mol of formula units

Geometry as extended XYZ:
```
7
Lattice="-0.0431 1.7393 -4.9637 2.5696 -4.5836 0.2295 -4.9437 -0.6763 1.6638" Properties=species:S:1:pos:R:3 pbc="T T T"
La 0.0000 0.0000 0.0000
Fe -0.5554 -3.3411 -0.2370
Fe 0.6698 -2.7372 -1.8938
Fe -2.4337 -2.3642 0.1216
Fe -1.8617 -0.1796 -2.8335
Fe -3.0869 -0.7835 -1.1767
Fe 0.0166 -1.1564 -3.1921
```



This record from Alexandria describes crystalline La2Fe at its relaxed geometry. The functional is PBE.

## Properties
calculated total energy: -5.943 eV per atom
total moment: 1.52 μB per cell
D(E_F): 3.38 states/eV/f.u.
ΔH_f (0 K): 47 kJ/mol of formula units

Geometry as extended XYZ:
```
6
Lattice="2.3160 -6.8548 0.0000 2.3160 6.8548 0.0000 0.0000 0.0000 5.3533" Properties=species:S:1:pos:R:3 pbc="T T T"
La 2.3160 5.0903 4.0150
La 2.3160 1.7632 4.0150
La 2.3160 -1.7632 1.3383
La 2.3160 -5.0903 1.3383
Fe 2.3160 -3.4287 4.0150
Fe 2.3160 3.4287 1.3383
```



This record from Alexandria describes crystalline LaFe at its relaxed geometry. The functional is PBE.

## Properties
calculated total energy: -5.444 eV per atom
total moment: 5.99 μB per cell
D(E_F): 4.26 states/eV/f.u.
ΔH_f (0 K): 241 kJ/mol of formula units

Geometry as extended XYZ:
```
12
Lattice="7.5341 0.0000 0.0000 0.0000 7.5341 0.0000 0.0000 0.0000 7.5341" Properties=species:S:1:pos:R:3 pbc="T T T"
La 1.8835 0.0000 3.7671
La 5.6506 0.0000 3.7671
La 0.0000 3.7671 1.8835
La 0.0000 3.7671 5.6506
La 3.7671 1.8835 0.0000
La 3.7671 5.6506 0.0000
Fe 1.8835 3.7671 0.0000
Fe 5.6506 3.7671 0.0000
Fe 3.7671 0.0000 1.8835
Fe 3.7671 0.0000 5.6506
Fe 0.0000 1.8835 3.7671
Fe 0.0000 5.6506 3.7671
```



This record from Alexandria describes crystalline LaFe9 at its relaxed geometry. The functional is PBE.

## Properties
calculated total energy: -7.897 eV per atom
total moment: 42.66 μB per cell
D(E_F): 6.18 states/eV/f.u.
ΔH_f (0 K): 205 kJ/mol of formula units

Geometry as extended XYZ:
```
20
Lattice="1.9737 -5.9526 -3.2986 1.8420 0.4879 6.8248 -7.0822 0.1401 -0.1813" Properties=species:S:1:pos:R:3 pbc="T T T"
La 2.8618 -4.0985 2.6447
La 0.9539 -1.3662 0.8816
Fe -1.5889 -0.3349 1.2004
Fe -3.5051 -1.5352 4.4867
Fe -2.5542 -2.9062 -1.7399
Fe -1.8065 -4.9511 -2.6451
Fe -1.4189 -2.3803 2.8357
Fe 1.1544 -2.1167 3.5325
Fe 0.2387 -3.7894 -1.1417
Fe -1.6775 -4.9897 2.1446
Fe -2.9858 -5.4048 -0.1559
Fe -3.6041 -1.3445 1.8164
Fe -1.8475 -2.9443 0.5093
Fe 0.3377 -3.9801 1.5286
Fe -4.4207 -3.2079 -0.1876
Fe -4.3951 -4.4620 -2.1589
Fe -2.6201 0.3140 3.3218
Fe -0.2806 0.0802 3.5009
Fe -1.4599 -0.3735 5.9900
Fe 1.1287 -0.8626 5.5039
```



This record from Alexandria describes crystalline La2Fe at its relaxed geometry. The functional is PBE.

## Properties
calculated total energy: -5.943 eV per atom
total moment: 0.01 μB per cell
D(E_F): 4.06 states/eV/f.u.
ΔH_f (0 K): 47 kJ/mol of formula units

Geometry as extended XYZ:
```
12
Lattice="-5.2382 4.5069 -0.2350 -1.2848 -1.1441 6.6967 4.3262 5.1171 1.7042" Properties=species:S:1:pos:R:3 pbc="T T T"
Fe 0.0000 0.0000 0.0000
Fe -3.2615 1.6814 3.2308
Fe -0.4560 4.8120 0.7346
Fe 1.5207 1.9865 4.2005
La -0.7230 2.7907 2.6874
La -1.4738 5.6892 5.4785
La -1.6601 6.9742 2.0930
La -0.5367 1.5057 6.0729
La -3.8402 2.9496 5.6858
La 1.6434 5.5303 2.4801
La 1.8297 4.2453 5.8656
La -4.0265 4.2346 2.3003
```



This record from Alexandria describes crystalline La3Fe2 at its relaxed geometry. The functional is PBE.

## Properties
calculated total energy: -5.975 eV per atom
total moment: 1.54 μB per cell
D(E_F): 8.85 states/eV/f.u.
ΔH_f (0 K): 177 kJ/mol of formula units

Geometry as extended XYZ:
```
5
Lattice="10.2955 -1.9659 0.0347 10.2955 1.9659 0.0347 9.9087 0.0000 3.4176" Properties=species:S:1:pos:R:3 pbc="T T T"
La 0.0000 0.0000 0.0000
La 6.8170 0.0000 0.7794
La 23.6827 0.0000 2.7076
Fe 18.4837 0.0000 2.1132
Fe 12.0160 0.0000 1.3738
```



This record from Alexandria describes crystalline La2Fe3 at its relaxed geometry. The functional is PBE.

## Properties
calculated total energy: -6.700 eV per atom
total moment: 0.31 μB per cell
D(E_F): 9.72 states/eV/f.u.
ΔH_f (0 K): 168 kJ/mol of formula units

Geometry as extended XYZ:
```
5
Lattice="8.5518 -1.9148 0.1224 8.5518 1.9148 0.1224 8.0761 0.0000 3.4045" Properties=species:S:1:pos:R:3 pbc="T T T"
La 14.7671 0.0000 2.1402
La 10.4127 0.0000 1.5091
Fe 0.0000 0.0000 0.0000
Fe 4.3104 0.0000 0.6247
Fe 20.8694 0.0000 3.0246
```